Version w
Computed, not measured: a geometry-optimized Nd4SmTm structure at the PBE-GGA level of DFT.

Unit cell a=8.141 b=8.141 c=5.149 alpha=90.00 beta=90.00 gamma=143.06
Fractional coordinates of all 6 atoms:
Nd (0.165, 0.835, 0.000)
Nd (0.335, 0.665, 0.500)
Nd (0.665, 0.335, 0.500)
Nd (0.835, 0.165, 0.000)
Sm (0.000, 0.000, 0.500)
Tm (0.500, 0.500, 0.000)

Crystal system = orthorhombic
Total magnetization = 0.00 Bohr magnetons per cell

Version x
Computed, not measured: a geometry-optimized Nd4SmTm structure at the PBE-GGA level of DFT.

Unit cell a=6.177 b=6.177 c=11.648 alpha=118.23 beta=118.23 gamma=32.77
Fractional coordinates of all 6 atoms:
Nd (0.187, 0.187, 0.342)
Nd (0.191, 0.191, 0.846)
Nd (0.809, 0.809, 0.154)
Nd (0.813, 0.813, 0.658)
Sm (0.000, 0.000, 0.500)
Tm (0.000, 0.000, 0.000)

Crystal system = monoclinic
Total magnetization = 0.00 Bohr magnetons per cell

Which structure loses on stability? version x does.

Version w
Computed, not measured: a geometry-optimized NdSm6Tm2 structure at the PBE-GGA level of DFT.

Unit cell a=7.548 b=7.548 c=6.113 alpha=90.01 beta=90.01 gamma=59.98
Fractional coordinates of all 9 atoms:
Nd (0.000, 0.000, 0.000)
Sm (0.188, 0.188, 0.712)
Sm (0.188, 0.622, 0.711)
Sm (0.378, 0.812, 0.289)
Sm (0.622, 0.188, 0.711)
Sm (0.812, 0.378, 0.289)
Sm (0.812, 0.812, 0.288)
Tm (0.333, 0.333, 0.218)
Tm (0.667, 0.667, 0.782)

Crystal system = monoclinic
Total magnetization = 0.88 Bohr magnetons per cell

Version x
Computed, not measured: a geometry-optimized NdSm6Tm2 structure at the PBE-GGA level of DFT.

Unit cell a=10.065 b=10.065 c=3.639 alpha=94.16 beta=94.16 gamma=125.33
Fractional coordinates of all 9 atoms:
Nd (0.000, 0.000, 0.000)
Sm (0.162, 0.500, 0.176)
Sm (0.335, 0.335, 0.674)
Sm (0.500, 0.162, 0.176)
Sm (0.500, 0.838, 0.824)
Sm (0.665, 0.665, 0.326)
Sm (0.838, 0.500, 0.824)
Tm (0.167, 0.833, 0.500)
Tm (0.833, 0.167, 0.500)

Crystal system = monoclinic
Total magnetization = 0.00 Bohr magnetons per cell

Which structure loses on stability? version w does.

Version w
Computed, not measured: a geometry-optimized Nd2Sm12Tm5 structure at the PBE-GGA level of DFT.

Unit cell a=8.699 b=8.699 c=9.370 alpha=109.12 beta=109.12 gamma=84.02
Fractional coordinates of all 19 atoms:
Nd (0.224, 0.776, 0.000)
Nd (0.776, 0.224, 0.000)
Sm (0.058, 0.549, 0.198)
Sm (0.078, 0.078, 0.782)
Sm (0.112, 0.672, 0.583)
Sm (0.328, 0.888, 0.417)
Sm (0.383, 0.383, 0.059)
Sm (0.451, 0.942, 0.802)
Sm (0.549, 0.058, 0.198)
Sm (0.617, 0.617, 0.941)
Sm (0.672, 0.112, 0.583)
Sm (0.888, 0.328, 0.417)
Sm (0.922, 0.922, 0.218)
Sm (0.942, 0.451, 0.802)
Tm (0.190, 0.190, 0.235)
Tm (0.303, 0.303, 0.660)
Tm (0.500, 0.500, 0.500)
Tm (0.697, 0.697, 0.340)
Tm (0.810, 0.810, 0.765)

Crystal system = monoclinic
Total magnetization = 0.00 Bohr magnetons per cell

Version x
Computed, not measured: a geometry-optimized Nd2Sm12Tm5 structure at the PBE-GGA level of DFT.

Unit cell a=9.188 b=9.188 c=8.654 alpha=90.79 beta=90.79 gamma=60.82
Fractional coordinates of all 19 atoms:
Nd (0.177, 0.823, 0.000)
Nd (0.823, 0.177, 0.000)
Sm (0.063, 0.063, 0.336)
Sm (0.067, 0.681, 0.340)
Sm (0.164, 0.525, 0.762)
Sm (0.319, 0.933, 0.660)
Sm (0.409, 0.409, 0.118)
Sm (0.475, 0.836, 0.238)
Sm (0.525, 0.164, 0.762)
Sm (0.591, 0.591, 0.882)
Sm (0.681, 0.067, 0.340)
Sm (0.836, 0.475, 0.238)
Sm (0.933, 0.319, 0.660)
Sm (0.937, 0.937, 0.664)
Tm (0.198, 0.198, 0.016)
Tm (0.270, 0.270, 0.429)
Tm (0.500, 0.500, 0.500)
Tm (0.730, 0.730, 0.571)
Tm (0.802, 0.802, 0.984)

Crystal system = monoclinic
Total magnetization = 0.00 Bohr magnetons per cell

Which structure loses on stability? version x does.

Version w
Computed, not measured: a geometry-optimized Nd3Sm5Tm2 structure at the PBE-GGA level of DFT.

Unit cell a=9.408 b=9.408 c=9.783 alpha=108.47 beta=108.47 gamma=109.57
Fractional coordinates of all 20 atoms:
Nd (0.019, 0.271, 0.051)
Nd (0.229, 0.771, 0.750)
Nd (0.271, 0.019, 0.551)
Nd (0.729, 0.981, 0.449)
Nd (0.771, 0.229, 0.250)
Nd (0.981, 0.729, 0.949)
Sm (0.022, 0.978, 0.750)
Sm (0.146, 0.387, 0.776)
Sm (0.272, 0.728, 0.250)
Sm (0.387, 0.146, 0.276)
Sm (0.472, 0.528, 0.250)
Sm (0.528, 0.472, 0.750)
Sm (0.613, 0.854, 0.724)
Sm (0.728, 0.272, 0.750)
Sm (0.854, 0.613, 0.224)
Sm (0.978, 0.022, 0.250)
Tm (0.222, 0.465, 0.450)
Tm (0.465, 0.222, 0.950)
Tm (0.535, 0.778, 0.050)
Tm (0.778, 0.535, 0.550)

Crystal system = monoclinic
Total magnetization = 0.00 Bohr magnetons per cell

Version x
Computed, not measured: a geometry-optimized Nd3Sm5Tm2 structure at the PBE-GGA level of DFT.

Unit cell a=11.122 b=11.122 c=11.122 alpha=119.08 beta=72.59 gamma=144.41
Fractional coordinates of all 20 atoms:
Nd (0.170, 0.706, 0.876)
Nd (0.250, 0.250, 0.000)
Nd (0.330, 0.206, 0.537)
Nd (0.670, 0.794, 0.463)
Nd (0.750, 0.750, 0.000)
Nd (0.830, 0.294, 0.124)
Sm (0.070, 0.250, 0.820)
Sm (0.171, 0.393, 0.564)
Sm (0.250, 0.750, 0.500)
Sm (0.329, 0.893, 0.223)
Sm (0.430, 0.250, 0.180)
Sm (0.570, 0.750, 0.820)
Sm (0.671, 0.107, 0.777)
Sm (0.750, 0.250, 0.500)
Sm (0.829, 0.607, 0.436)
Sm (0.930, 0.750, 0.180)
Tm (0.025, 0.236, 0.261)
Tm (0.475, 0.736, 0.211)
Tm (0.525, 0.264, 0.789)
Tm (0.975, 0.764, 0.739)

Crystal system = orthorhombic
Total magnetization = 0.00 Bohr magnetons per cell

Which structure loses on stability? version x does.

Version w
Computed, not measured: a geometry-optimized Nd7Sm3Tm2 structure at the PBE-GGA level of DFT.

Unit cell a=6.317 b=5.641 c=12.243 alpha=90.00 beta=91.58 gamma=90.00
Fractional coordinates of all 12 atoms:
Nd (0.000, 0.000, 0.000)
Nd (0.093, 0.500, 0.170)
Nd (0.245, 0.500, 0.451)
Nd (0.441, 0.000, 0.188)
Nd (0.559, 0.000, 0.812)
Nd (0.755, 0.500, 0.549)
Nd (0.907, 0.500, 0.830)
Sm (0.068, 0.000, 0.660)
Sm (0.500, 0.500, 0.000)
Sm (0.932, 0.000, 0.340)
Tm (0.373, 0.500, 0.722)
Tm (0.627, 0.500, 0.278)

Crystal system = monoclinic
Total magnetization = 0.00 Bohr magnetons per cell

Version x
Computed, not measured: a geometry-optimized Nd7Sm3Tm2 structure at the PBE-GGA level of DFT.

Unit cell a=5.940 b=3.621 c=19.187 alpha=90.00 beta=93.37 gamma=90.00
Fractional coordinates of all 12 atoms:
Nd (0.000, 0.000, 0.000)
Nd (0.182, 0.500, 0.183)
Nd (0.257, 0.500, 0.535)
Nd (0.320, 0.000, 0.854)
Nd (0.680, 0.000, 0.146)
Nd (0.743, 0.500, 0.465)
Nd (0.818, 0.500, 0.817)
Sm (0.217, 0.000, 0.366)
Sm (0.500, 0.500, 0.000)
Sm (0.783, 0.000, 0.634)
Tm (0.293, 0.500, 0.703)
Tm (0.707, 0.500, 0.297)

Crystal system = monoclinic
Total magnetization = 0.00 Bohr magnetons per cell

Which structure loses on stability? version w does.

Version w
Computed, not measured: a geometry-optimized NdSm5Tm3 structure at the PBE-GGA level of DFT.

Unit cell a=8.855 b=8.855 c=11.533 alpha=108.47 beta=108.47 gamma=44.65
Fractional coordinates of all 18 atoms:
Nd (0.243, 0.757, 0.750)
Nd (0.757, 0.243, 0.250)
Sm (0.083, 0.260, 0.846)
Sm (0.260, 0.083, 0.346)
Sm (0.312, 0.688, 0.250)
Sm (0.382, 0.394, 0.948)
Sm (0.394, 0.382, 0.448)
Sm (0.606, 0.618, 0.552)
Sm (0.618, 0.606, 0.052)
Sm (0.688, 0.312, 0.750)
Sm (0.740, 0.917, 0.654)
Sm (0.917, 0.740, 0.154)
Tm (0.000, 0.000, 0.000)
Tm (0.000, 0.000, 0.500)
Tm (0.162, 0.358, 0.627)
Tm (0.358, 0.162, 0.127)
Tm (0.642, 0.838, 0.873)
Tm (0.838, 0.642, 0.373)

Crystal system = monoclinic
Total magnetization = 0.00 Bohr magnetons per cell

Version x
Computed, not measured: a geometry-optimized NdSm5Tm3 structure at the PBE-GGA level of DFT.

Unit cell a=9.407 b=9.407 c=12.313 alpha=126.43 beta=126.43 gamma=51.23
Fractional coordinates of all 18 atoms:
Nd (0.237, 0.237, 0.134)
Nd (0.763, 0.763, 0.866)
Sm (0.132, 0.132, 0.573)
Sm (0.141, 0.733, 0.224)
Sm (0.267, 0.859, 0.776)
Sm (0.303, 0.303, 0.937)
Sm (0.320, 0.680, 0.000)
Sm (0.680, 0.320, 0.000)
Sm (0.697, 0.697, 0.063)
Sm (0.733, 0.141, 0.224)
Sm (0.859, 0.267, 0.776)
Sm (0.868, 0.868, 0.427)
Tm (0.000, 0.000, 0.000)
Tm (0.171, 0.171, 0.339)
Tm (0.385, 0.385, 0.682)
Tm (0.500, 0.500, 0.500)
Tm (0.615, 0.615, 0.318)
Tm (0.829, 0.829, 0.661)

Crystal system = monoclinic
Total magnetization = 0.00 Bohr magnetons per cell

Which structure loses on stability? version x does.

Version w
Computed, not measured: a geometry-optimized Nd2SmTm2 structure at the PBE-GGA level of DFT.

Unit cell a=8.189 b=8.189 c=6.058 alpha=103.27 beta=103.27 gamma=110.00
Fractional coordinates of all 10 atoms:
Nd (0.107, 0.261, 0.375)
Nd (0.261, 0.107, 0.875)
Nd (0.739, 0.893, 0.125)
Nd (0.893, 0.739, 0.625)
Sm (0.434, 0.566, 0.250)
Sm (0.566, 0.434, 0.750)
Tm (0.168, 0.832, 0.250)
Tm (0.302, 0.698, 0.750)
Tm (0.698, 0.302, 0.250)
Tm (0.832, 0.168, 0.750)

Crystal system = monoclinic
Total magnetization = 0.00 Bohr magnetons per cell

Version x
Computed, not measured: a geometry-optimized Nd2SmTm2 structure at the PBE-GGA level of DFT.

Unit cell a=3.605 b=3.605 c=14.700 alpha=97.11 beta=97.11 gamma=60.04
Fractional coordinates of all 5 atoms:
Nd (0.132, 0.132, 0.394)
Nd (0.868, 0.868, 0.606)
Sm (0.000, 0.000, 0.000)
Tm (0.398, 0.398, 0.196)
Tm (0.602, 0.602, 0.804)

Crystal system = monoclinic
Total magnetization = 0.00 Bohr magnetons per cell

Which structure loses on stability? version w does.

Version w
Computed, not measured: a geometry-optimized Nd3SmTm structure at the PBE-GGA level of DFT.

Unit cell a=5.518 b=7.105 c=9.073 alpha=90.00 beta=107.64 gamma=90.00
Fractional coordinates of all 10 atoms:
Nd (0.104, 0.001, 0.209)
Nd (0.104, 0.499, 0.209)
Nd (0.302, 0.250, 0.605)
Nd (0.698, 0.750, 0.395)
Nd (0.896, 0.501, 0.791)
Nd (0.896, 0.999, 0.791)
Sm (0.302, 0.750, 0.605)
Sm (0.698, 0.250, 0.395)
Tm (0.500, 0.250, 0.000)
Tm (0.500, 0.750, 0.000)

Crystal system = monoclinic
Total magnetization = 0.00 Bohr magnetons per cell

Version x
Computed, not measured: a geometry-optimized Nd3SmTm structure at the PBE-GGA level of DFT.

Unit cell a=9.432 b=9.432 c=6.093 alpha=108.73 beta=108.73 gamma=42.51
Fractional coordinates of all 10 atoms:
Nd (0.080, 0.615, 0.598)
Nd (0.274, 0.274, 0.025)
Nd (0.385, 0.920, 0.402)
Nd (0.615, 0.080, 0.598)
Nd (0.726, 0.726, 0.975)
Nd (0.920, 0.385, 0.402)
Sm (0.500, 0.500, 0.000)
Sm (0.500, 0.500, 0.500)
Tm (0.051, 0.051, 0.801)
Tm (0.949, 0.949, 0.199)

Crystal system = monoclinic
Total magnetization = 0.00 Bohr magnetons per cell

Which structure loses on stability? version x does.

Version w
Computed, not measured: a geometry-optimized Nd2Sm4Tm3 structure at the PBE-GGA level of DFT.

Unit cell a=10.031 b=10.031 c=6.202 alpha=94.90 beta=94.90 gamma=71.76
Fractional coordinates of all 18 atoms:
Nd (0.023, 0.738, 0.680)
Nd (0.262, 0.977, 0.820)
Nd (0.738, 0.023, 0.180)
Nd (0.977, 0.262, 0.320)
Sm (0.074, 0.355, 0.847)
Sm (0.311, 0.593, 0.986)
Sm (0.355, 0.074, 0.347)
Sm (0.407, 0.689, 0.514)
Sm (0.593, 0.311, 0.486)
Sm (0.645, 0.926, 0.653)
Sm (0.689, 0.407, 0.014)
Sm (0.926, 0.645, 0.153)
Tm (0.100, 0.900, 0.250)
Tm (0.235, 0.433, 0.414)
Tm (0.433, 0.235, 0.914)
Tm (0.567, 0.765, 0.086)
Tm (0.765, 0.567, 0.586)
Tm (0.900, 0.100, 0.750)

Crystal system = monoclinic
Total magnetization = 0.00 Bohr magnetons per cell

Version x
Computed, not measured: a geometry-optimized Nd2Sm4Tm3 structure at the PBE-GGA level of DFT.

Unit cell a=3.614 b=3.614 c=26.631 alpha=90.00 beta=90.00 gamma=120.00
Fractional coordinates of all 9 atoms:
Nd (0.000, 0.000, 0.000)
Nd (0.000, 0.000, 0.214)
Sm (0.000, 0.000, 0.349)
Sm (0.000, 0.000, 0.561)
Sm (0.333, 0.667, 0.673)
Sm (0.333, 0.667, 0.886)
Tm (0.000, 0.000, 0.779)
Tm (0.333, 0.667, 0.109)
Tm (0.333, 0.667, 0.453)

Crystal system = trigonal
Total magnetization = 0.01 Bohr magnetons per cell

Which structure loses on stability? version w does.

Version w
Computed, not measured: a geometry-optimized Nd6Sm3Tm2 structure at the PBE-GGA level of DFT.

Unit cell a=17.234 b=17.234 c=17.234 alpha=163.95 beta=163.95 gamma=22.78
Fractional coordinates of all 11 atoms:
Nd (0.119, 0.619, 0.500)
Nd (0.201, 0.201, 0.000)
Nd (0.381, 0.881, 0.500)
Nd (0.619, 0.119, 0.500)
Nd (0.799, 0.799, 0.000)
Nd (0.881, 0.381, 0.500)
Sm (0.303, 0.303, 0.000)
Sm (0.500, 0.500, 0.000)
Sm (0.697, 0.697, 0.000)
Tm (0.045, 0.045, 0.000)
Tm (0.955, 0.955, 0.000)

Crystal system = tetragonal
Total magnetization = 0.00 Bohr magnetons per cell

Version x
Computed, not measured: a geometry-optimized Nd6Sm3Tm2 structure at the PBE-GGA level of DFT.

Unit cell a=32.605 b=32.605 c=32.605 alpha=6.39 beta=6.39 gamma=6.39
Fractional coordinates of all 11 atoms:
Nd (0.092, 0.092, 0.092)
Nd (0.182, 0.182, 0.182)
Nd (0.364, 0.364, 0.364)
Nd (0.636, 0.636, 0.636)
Nd (0.818, 0.818, 0.818)
Nd (0.908, 0.908, 0.908)
Sm (0.000, 0.000, 0.000)
Sm (0.272, 0.272, 0.272)
Sm (0.728, 0.728, 0.728)
Tm (0.455, 0.455, 0.455)
Tm (0.545, 0.545, 0.545)

Crystal system = trigonal
Total magnetization = 0.00 Bohr magnetons per cell

Which structure loses on stability? version w does.